Entry 1:
Here is a relaxed V2Cr6Ga crystal from Alexandria via LeMat-Bulk. Energies are from PBE-GGA.

Lattice parameters (Å, degrees): 6.6017 6.6017 4.3141 108.27 108.27 42.46
Element x y z (fractional)
V1 0.1051 0.1051 0.1037
V2 0.8949 0.8949 0.8963
Cr1 0.0487 0.5579 0.3035
Cr2 0.2425 0.7575 0.5000
Cr3 0.4421 0.9513 0.6965
Cr4 0.5579 0.0487 0.3035
Cr5 0.7575 0.2425 0.5000
Cr6 0.9513 0.4421 0.6965
Ga1 0.5000 0.5000 0.0000

Computed properties:
Energy of formation from the pure elements: 0.434 eV/atom

=====

Entry 2:
Here is a relaxed V3CrGa2 crystal from Alexandria via LeMat-Bulk. Energies are from PBE-GGA.

Lattice parameters (Å, degrees): 4.5158 5.4920 6.6018 89.94 82.64 89.96
Element x y z (fractional)
V1 0.0000 0.2451 0.0003
V2 0.0000 0.7549 0.9997
V3 0.2781 0.7667 0.3388
V4 0.2788 0.2336 0.3390
V5 0.7212 0.7664 0.6610
V6 0.7219 0.2333 0.6612
Cr1 0.2102 0.0000 0.6578
Cr2 0.7898 0.0000 0.3422
Ga1 0.2141 0.4999 0.6722
Ga2 0.5000 0.0000 0.0000
Ga3 0.5000 0.5000 0.0000
Ga4 0.7859 0.5001 0.3278

Computed properties:
Energy of formation from the pure elements: -0.133 eV/atom
Relative energy among the computed polymorphs: 0.000 eV/atom